# 1
DFT (PBE) results for an optimized crystal structure of ThZr3N.

a = 4.674 Å, b = 4.674 Å, c = 4.674 Å
α = 90.00°, β = 90.00°, γ = 90.00°
Space group Pm-3m (No. 221)
Asymmetric unit:
Th: 0.000 0.000 0.000 [1 per cell]
Zr: 0.000 0.500 0.500 [3 per cell]
N: 0.500 0.500 0.500 [1 per cell]

Calculated values
The formation energy (no corrections) is -0.52 eV per atom. The electronic total energy is -43.974 eV per cell. The value obtained for the magnetization is 0.00 μB per cell.

---

# 2
DFT (PBE) results for an optimized crystal structure of Th3ZrN4.

a = 3.5461 Å, b = 3.5461 Å, c = 35.1760 Å
α = 90.00°, β = 90.00°, γ = 120.00°
Space group R-3m (No. 166, hexagonal axes)
Asymmetric unit:
Th: 0.0000 0.0000 0.0000 [3 per cell]
Th: 0.0000 0.0000 0.2462 [6 per cell]
Zr: 0.0000 0.0000 0.5000 [3 per cell]
N: 0.0000 0.0000 0.1314 [6 per cell]
N: 0.0000 0.0000 0.3780 [6 per cell]

Calculated values
The formation energy (no corrections) is -1.55 eV per atom. The electronic total energy is -229.503 eV per cell. The value obtained for the magnetization is 0.00 μB per cell.

---

Question: electronic total energy of number 1 (ThZr3N)?
Answer: -43.974 eV per cell